HfTlS2 after structural relaxation, computed with PBE.

## Properties
Space-group type ... C2/m (12)
Electronic total energy ... -25.3 eV per formula unit
Total magnetic moment ... 0.000 μB/atom
E_form (uncorrected) ... -455 kJ/mol of formula units

a = 6.2299 Å, b = 3.5932 Å, c = 9.0680 Å
α = 90.00°, β = 90.56°, γ = 90.00°
Last column: nearest neighbours and their distance in Å.
Fractional positions:
Hf 0.0000 0.0000 0.0000  6 S 2.56
Hf 0.5000 0.5000 0.0000  6 S 2.56
Tl 0.0000 0.5000 0.5000  2 S 3.20
Tl 0.5000 0.0000 0.5000  2 S 3.20
S 0.1645 0.5000 0.8355  3 Hf 2.56
S 0.3355 0.0000 0.1645  3 Hf 2.56
S 0.6645 0.0000 0.8355  3 Hf 2.56
S 0.8355 0.5000 0.1645  3 Hf 2.56

Rb3CdS3 after structural relaxation, computed with PBE.

## Properties
Space-group type ... C2/m (12)
Electronic total energy ... -21.9 eV per formula unit
Total magnetic moment ... 0.156 μB/atom
E_form (uncorrected) ... -547 kJ/mol of formula units

a = 8.1892 Å, b = 8.1892 Å, c = 8.0017 Å
α = 95.10°, β = 95.10°, γ = 111.76°
Last column: nearest neighbours and their distance in Å.
Fractional positions:
Rb 0.1730 0.8270 0.0000  6 S 3.31-3.59
Rb 0.2345 0.7655 0.5000  6 S 3.44-3.65, 2 Cd 3.69
Rb 0.3869 0.3869 0.1541  3 S 3.17-3.40, 1 Rb 3.47
Rb 0.6131 0.6131 0.8459  3 S 3.17-3.40, 1 Rb 3.47
Rb 0.7655 0.2345 0.5000  6 S 3.44-3.65, 2 Cd 3.69
Rb 0.8270 0.1730 0.0000  6 S 3.31-3.59
Cd 0.1822 0.1822 0.6430  4 S 2.50-2.62
Cd 0.8178 0.8178 0.3570  4 S 2.50-2.62
S 0.0961 0.0961 0.3204  2 Cd 2.58-2.62
S 0.1623 0.4595 0.7811  1 Cd 2.50
S 0.4595 0.1623 0.7811  1 Cd 2.50
S 0.5405 0.8377 0.2189  1 Cd 2.50
S 0.8377 0.5405 0.2189  1 Cd 2.50
S 0.9039 0.9039 0.6796  2 Cd 2.58-2.62

MgTlTe4 after structural relaxation, computed with PBE.

## Properties
Space-group type ... F-43m (216)
Electronic total energy ... -15.7 eV per formula unit
Total magnetic moment ... 0.000 μB/atom
E_form (uncorrected) ... 78 kJ/mol of formula units

a = 6.4920 Å, b = 6.4920 Å, c = 6.4920 Å
α = 60.00°, β = 60.00°, γ = 60.00°
Last column: nearest neighbours and their distance in Å.
Fractional positions:
Mg 0.0000 0.0000 0.0000  12 Te 3.80, 4 Tl 3.98
Tl 0.2500 0.2500 0.2500  12 Te 3.81, 4 Mg 3.98
Te 0.1222 0.6259 0.6259  6 Te 3.22-3.27
Te 0.6259 0.1222 0.6259  6 Te 3.22-3.27
Te 0.6259 0.6259 0.1222  6 Te 3.22-3.27
Te 0.6259 0.6259 0.6259  6 Te 3.22-3.27